A plane-wave DFT calculation with GGA-PBE was carried out for a relaxed structure of Tl2CdAg2.

Output
DOS at the Fermi energy = 0.4072 states/eV/atom
Electronic total energy = -2.11 eV/atom
Relative energy among the computed polymorphs = 66 meV/atom
SG = I4/mmm (139)
Calculated formation energy = 163 meV/atom

Geometry as POSCAR:
```
Tl2CdAg2
1.0
-1.948 1.948 8.500
1.948 -1.948 8.500
1.948 1.948 -8.500
Tl Cd Ag
2 1 2
Direct
0.106 0.106 0.000 Tl
0.894 0.894 0.000 Tl
0.500 0.500 0.000 Cd
0.250 0.750 0.500 Ag
0.750 0.250 0.500 Ag
```